Entry 1:
A geometry-optimized NaZnPO4 structure, computed with GGA-PBE.

Crystal system: monoclinic
Space group: No. 14
E above lowest polymorph (meV/atom): 0

Unit cell a=5.1781 b=9.9308 c=7.3456 alpha=90.00 beta=90.18 gamma=90.00
With the nearest neighbours (Å) after each atom.
Element x y z (fractional)
O 0.3406 0.3257 0.4322  1 P 1.54
O 0.7618 0.9452 0.7827  1 P 1.55
O 0.2152 0.8572 0.4164  1 P 1.57
O 0.1594 0.8257 0.0678  1 P 1.54
O 0.2618 0.5548 0.2827  1 P 1.55
O 0.2848 0.3572 0.0836  1 P 1.57
O 0.6594 0.6743 0.5678  1 P 1.54
O 0.8406 0.1743 0.9322  1 P 1.54
O 0.5931 0.8756 0.2064  1 P 1.55
O 0.9069 0.3756 0.2936  1 P 1.55
O 0.0931 0.6244 0.7064  1 P 1.55
O 0.7382 0.4452 0.7173  1 P 1.55
O 0.7848 0.1428 0.5836  1 P 1.57
O 0.4069 0.1244 0.7936  1 P 1.55
O 0.7152 0.6428 0.9164  1 P 1.57
O 0.2382 0.0548 0.2173  1 P 1.55
Na 0.2841 0.6149 0.9833  4 O 2.26-2.30
Na 0.7159 0.3851 0.0167  4 O 2.26-2.30
Na 0.7841 0.8851 0.4833  4 O 2.26-2.30
Na 0.2159 0.1149 0.5167  4 O 2.26-2.30
P 0.7005 0.0975 0.7789  4 O 1.54-1.57
P 0.2995 0.9025 0.2211  4 O 1.54-1.57
P 0.7995 0.5975 0.7211  4 O 1.54-1.57
P 0.2005 0.4025 0.2789  4 O 1.54-1.57
Zn 0.2046 0.1699 0.0060  4 O 1.94-1.99
Zn 0.7954 0.8301 0.9940  4 O 1.94-1.99
Zn 0.2954 0.6699 0.4940  4 O 1.94-1.99
Zn 0.7046 0.3301 0.5060  4 O 1.94-1.99

---

Entry 2:
A geometry-optimized TaCdNO structure, computed with GGA-PBE.

Crystal system: orthorhombic
Space group: No. 29
E above lowest polymorph (meV/atom): 271

Unit cell a=5.3457 b=7.8724 c=5.1384 alpha=90.00 beta=90.00 gamma=90.00
With the nearest neighbours (Å) after each atom.
Element x y z (fractional)
N 0.0755 0.6371 0.4620  1 Ta 1.84
N 0.9245 0.3629 0.9620  1 Ta 1.84
N 0.5755 0.3629 0.4620  1 Ta 1.84
N 0.4245 0.6371 0.9620  1 Ta 1.84
Ta 0.0294 0.1410 0.9983  1 N 1.84
Ta 0.9706 0.8590 0.4983  1 N 1.84
Ta 0.5294 0.8590 0.9983  1 N 1.84
Ta 0.4706 0.1410 0.4983  1 N 1.84
O 0.7597 0.0353 0.2501  4 Ta 2.11-2.26
O 0.7403 0.0353 0.7501  4 Ta 2.11-2.26
O 0.2403 0.9647 0.7501  4 Ta 2.11-2.26
O 0.2597 0.9647 0.2501  4 Ta 2.11-2.26
Cd 0.9803 0.6458 0.9921  3 N 2.25-2.47
Cd 0.5197 0.6458 0.4921  3 N 2.25-2.47
Cd 0.4803 0.3542 0.9921  3 N 2.25-2.47
Cd 0.0197 0.3542 0.4921  3 N 2.25-2.47

---

Entry 3:
A geometry-optimized PrPa2N4 structure, computed with GGA-PBE.

Energy (eV for the cell shown): -136.1
Crystal system: orthorhombic
Space group: No. 63

Unit cell a=6.0401 b=6.0401 c=10.8407 alpha=90.00 beta=90.00 gamma=146.52
With the nearest neighbours (Å) after each atom.
Element x y z (fractional)
Pa 0.1314 0.8686 0.4294  6 N 2.20-2.43
Pa 0.8686 0.1314 0.5706  6 N 2.20-2.43
Pa 0.8686 0.1314 0.9294  6 N 2.20-2.43
Pa 0.1314 0.8686 0.0706  6 N 2.20-2.43
Pr 0.3910 0.6090 0.2500  6 N 2.47-2.74
Pr 0.6090 0.3910 0.7500  6 N 2.47-2.74
N 0.5000 0.5000 0.0000  4 Pa 2.43
N 0.2297 0.7703 0.6038  3 Pa 2.21-2.40
N 0.7703 0.2297 0.3962  3 Pa 2.21-2.40
N 0.5000 0.5000 0.5000  4 Pa 2.43
N 0.9580 0.0420 0.7500  2 Pa 2.20, 2 Pr 2.47
N 0.7703 0.2297 0.1038  3 Pa 2.21-2.40
N 0.0420 0.9580 0.2500  2 Pa 2.20, 2 Pr 2.47
N 0.2297 0.7703 0.8962  3 Pa 2.21-2.40

---

Entry 4:
A geometry-optimized Sm2TmIrO6 structure, computed with GGA-PBE.

Energy (eV for the cell shown): -159.2
Crystal system: monoclinic
Space group: No. 14

Unit cell a=5.5186 b=5.9096 c=9.4071 alpha=90.00 beta=122.93 gamma=90.00
With the nearest neighbours (Å) after each atom.
Element x y z (fractional)
O 0.1273 0.4449 0.7617  1 Ir 2.09, 1 Tm 2.19, 1 Sm 2.30
O 0.2538 0.8049 0.5601  1 Ir 2.08, 1 Tm 2.16
O 0.7462 0.3049 0.9399  1 Ir 2.08, 1 Tm 2.16
O 0.3804 0.3032 0.5600  1 Ir 2.09, 1 Tm 2.19
O 0.8727 0.9449 0.7383  1 Ir 2.09, 1 Tm 2.19, 1 Sm 2.30
O 0.2538 0.6951 0.0601  1 Ir 2.08, 1 Tm 2.16
O 0.3804 0.1968 0.0600  1 Ir 2.09, 1 Tm 2.19
O 0.7462 0.1951 0.4399  1 Ir 2.08, 1 Tm 2.16
O 0.6196 0.6968 0.4400  1 Ir 2.09, 1 Tm 2.19
O 0.1273 0.0551 0.2617  1 Ir 2.09, 1 Tm 2.19, 1 Sm 2.30
O 0.8727 0.5551 0.2383  1 Ir 2.09, 1 Tm 2.19, 1 Sm 2.30
O 0.6196 0.8032 0.9400  1 Ir 2.09, 1 Tm 2.19
Sm 0.2787 0.0709 0.7513  5 O 2.30-2.56
Sm 0.2787 0.4291 0.2513  5 O 2.30-2.56
Sm 0.7213 0.5709 0.7487  5 O 2.30-2.56
Sm 0.7213 0.9291 0.2487  5 O 2.30-2.56
Tm 0.0000 0.5000 0.5000  6 O 2.16-2.19
Tm 0.0000 0.0000 0.0000  6 O 2.16-2.19
Ir 0.5000 0.5000 0.0000  6 O 2.08-2.09
Ir 0.5000 0.0000 0.5000  6 O 2.08-2.09